Entry 1:
Here is K2YTmTe4 after structural relaxation from Alexandria via LeMat-Bulk. Energies are from PBE-GGA.

The crystal system is monoclinic.

It has space group P2/m (No. 10), with a = 7.7524 Å, b = 4.4763 Å, c = 8.6326 Å, α = 90.00°, β = 107.39° and γ = 90.00°. Symmetry generates all atoms from K at (0.0000, 0.0000, 0.0000), K at (0.5000, 0.5000, 0.0000), Y at (0.0000, 0.5000, 0.5000), Tm at (0.5000, 0.0000, 0.5000), Te at (0.2387, 0.0000, 0.7081) and Te at (0.2674, 0.5000, 0.2933).


Entry 2:
Here is K4Y3TmTe8 after structural relaxation from Alexandria via LeMat-Bulk. Energies are from PBE-GGA.

The crystal system is trigonal.

It has space group R-3m (No. 166, hexagonal axes), with a = 8.9753 Å, b = 8.9753 Å, c = 24.7214 Å, α = 90.00°, β = 90.00° and γ = 120.00°. Symmetry generates all atoms from K at (0.0000, 0.0000, 0.0000), K at (0.0000, 0.5000, 0.0000), Y at (0.0000, 0.5000, 0.5000), Tm at (0.0000, 0.0000, 0.5000), Te at (0.0000, 0.0000, 0.2364) and Te at (0.0029, 0.5014, 0.2359).


Entry 3:
Here is K3YTm2Te6 after structural relaxation from Alexandria via LeMat-Bulk. Energies are from PBE-GGA.

The crystal system is monoclinic.

It has space group C2/m (No. 12), with a = 7.7369 Å, b = 13.4007 Å, c = 8.6321 Å, α = 90.00°, β = 107.39° and γ = 90.00°. Symmetry generates all atoms from K at (0.0000, 0.0000, 0.0000), K at (0.0000, 0.3342, 0.0000), Y at (0.0000, 0.5000, 0.5000), Tm at (0.0000, 0.1668, 0.5000), Te at (0.2325, 0.0000, 0.7068) and Te at (0.2373, 0.3318, 0.7071).


For each record above, in turn, the calculated energy relative to the elements, uncorrected values are -1.392; -1.402; -1.385 eV/atom.